# 1
# HgPIrO

An optimized crystal structure of HgPIrO (PBE, OQMD via LeMat-Bulk).

a b c (Å): 4.136 4.136 7.751
angles (deg): 90.00 90.00 90.00
Space group P4/nmm (No. 129, origin choice 2)
Inequivalent atoms, fractional coordinates:
Hg1 0.250 0.750 0.000
P1 0.250 0.250 0.297
Ir1 0.250 0.250 0.593
O1 0.250 0.750 0.500

Summary:
ρ: 11.01 Mg/m³
Energy above the most stable polymorph in this dataset: 745 meV per atom

---

# 2
# HgIrPb2O6

An optimized crystal structure of HgIrPb2O6 (PBE, OQMD via LeMat-Bulk).

a b c (Å): 10.083 5.707 5.898
angles (deg): 90.00 124.10 90.00
Space group C2/m (No. 12)
Inequivalent atoms, fractional coordinates:
Hg1 0.000 0.000 0.000
Ir1 0.000 0.500 0.500
Pb1 0.248 0.500 0.273
O1 0.077 0.262 0.359
O2 0.214 0.500 0.838

Summary:
ρ: 10.67 Mg/m³
Raw total energy: -5.375 eV per atom

---

# 3
# Pr2HgIrO6

An optimized crystal structure of Pr2HgIrO6 (PBE, OQMD via LeMat-Bulk).

a b c (Å): 5.588 6.149 9.722
angles (deg): 90.00 124.71 90.00
Space group P2_1/c (No. 14)
Inequivalent atoms, fractional coordinates:
Pr1 0.221 0.079 0.249
Hg1 0.000 0.000 0.500
Ir1 0.500 0.000 0.000
O1 0.142 0.167 0.945
O2 0.278 0.715 0.925
O3 0.409 0.060 0.772

Summary:
ρ: 9.32 Mg/m³
Raw total energy: -6.730 eV per atom

---

# 4
# RbHg3IrO4

An optimized crystal structure of RbHg3IrO4 (PBE, OQMD via LeMat-Bulk).

a b c (Å): 5.770 5.770 5.770
angles (deg): 90.00 90.00 90.00
Space group P-43m (No. 215)
Inequivalent atoms, fractional coordinates:
Rb1 0.000 0.000 0.000
Hg1 0.000 0.500 0.500
Ir1 0.500 0.500 0.500
O1 0.281 0.281 0.281

Summary:
ρ: 8.15 Mg/m³
Raw total energy: -3.379 eV per atom

---

# 5
# TlHg3IrO4

An optimized crystal structure of TlHg3IrO4 (PBE, OQMD via LeMat-Bulk).

a b c (Å): 5.574 5.574 5.574
angles (deg): 90.00 90.00 90.00
Space group P-43m (No. 215)
Inequivalent atoms, fractional coordinates:
Tl1 0.000 0.000 0.000
Hg1 0.000 0.500 0.500
Ir1 0.500 0.500 0.500
O1 0.257 0.257 0.257

Summary:
ρ: 10.19 Mg/m³
Raw total energy: -3.319 eV per atom

---

# 6
# PaHgIr

An optimized crystal structure of PaHgIr (PBE, OQMD via LeMat-Bulk).

a b c (Å): 6.749 6.749 6.749
angles (deg): 90.00 90.00 90.00
Space group F-43m (No. 216)
Inequivalent atoms, fractional coordinates:
Pa1 0.000 0.000 0.000
Hg1 0.250 0.250 0.750
Ir1 0.250 0.250 0.250

Summary:
ρ: 13.48 Mg/m³
Formation energy: 238.2 meV/atom
Energy above the most stable polymorph in this dataset: 0 meV per atom